Below is a PBEsol-optimized structure of YCdRe, with properties calculated at the meta-GGA SCAN level.

For the calculated total energy, the calculation gives -41.78 eV per atom. The calculated density is 8.66 g cm⁻³.

It has space group F-43m (No. 216), with a = 6.675 Å, b = 6.675 Å, c = 6.675 Å, α = 90.00°, β = 90.00° and γ = 90.00°. The asymmetric unit holds Y at (0.000, 0.000, 0.000), Cd at (0.250, 0.250, 0.750) and Re at (0.250, 0.250, 0.250).

=====

Below is a PBEsol-optimized structure of ZnCd2Re, with properties calculated at the meta-GGA SCAN level.

For the calculated total energy, the calculation gives -35.92 eV per atom. The calculated density is 11.82 g cm⁻³.

It has space group R-3m (No. 166, hexagonal axes), with a = 2.8645 Å, b = 2.8645 Å, c = 28.2488 Å, α = 90.00°, β = 90.00° and γ = 120.00°. The asymmetric unit holds Zn at (0.0000, 0.0000, 0.0000), Cd at (0.0000, 0.0000, 0.2508) and Re at (0.0000, 0.0000, 0.5000).

=====

Below is a PBEsol-optimized structure of ZnCd2Re, with properties calculated at the meta-GGA SCAN level.

For the calculated total energy, the calculation gives -36.01 eV per atom. The calculated density is 11.75 g cm⁻³.

It has space group R3m (No. 160, hexagonal axes), with a = 2.8388 Å, b = 2.8388 Å, c = 28.9326 Å, α = 90.00°, β = 90.00° and γ = 120.00°. The asymmetric unit holds Zn at (0.0000, 0.0000, 0.0000), Cd at (0.0000, 0.0000, 0.2495), Cd at (0.0000, 0.0000, 0.4895) and Re at (0.0000, 0.0000, 0.7390).

=====

Below is a PBEsol-optimized structure of ZnCd2Re, with properties calculated at the meta-GGA SCAN level.

For the calculated total energy, the calculation gives -35.85 eV per atom. The calculated density is 12.05 g cm⁻³.

It has space group Immm (No. 71), with a = 2.892 Å, b = 4.686 Å, c = 9.684 Å, α = 90.00°, β = 90.00° and γ = 90.00°. The asymmetric unit holds Zn at (0.000, 0.000, 0.000), Cd at (0.000, 0.500, 0.258) and Re at (0.000, 0.000, 0.500).

=====

Below is a PBEsol-optimized structure of ZnCd2Re, with properties calculated at the meta-GGA SCAN level.

For the calculated total energy, the calculation gives -35.79 eV per atom. The calculated density is 11.92 g cm⁻³.

It has space group I4/mmm (No. 139), with a = 3.839 Å, b = 3.839 Å, c = 9.011 Å, α = 90.00°, β = 90.00° and γ = 90.00°. The asymmetric unit holds Zn at (0.000, 0.000, 0.000), Cd at (0.000, 0.500, 0.250) and Re at (0.000, 0.000, 0.500).

=====

Below is a PBEsol-optimized structure of ZnCd2Re, with properties calculated at the meta-GGA SCAN level.

For the calculated total energy, the calculation gives -35.72 eV per atom. The calculated density is 11.87 g cm⁻³.

It has space group I-4m2 (No. 119), with a = 3.944 Å, b = 3.944 Å, c = 8.571 Å, α = 90.00°, β = 90.00° and γ = 90.00°. The asymmetric unit holds Zn at (0.000, 0.000, 0.000), Cd at (0.000, 0.000, 0.500), Cd at (0.000, 0.500, 0.250) and Re at (0.000, 0.500, 0.750).

=====

Below is a PBEsol-optimized structure of ZrCdRe2, with properties calculated at the meta-GGA SCAN level.

For the calculated total energy, the calculation gives -50.60 eV per atom. The calculated density is 13.98 g cm⁻³.

It has space group Cmm2 (No. 35), with a = 3.228 Å, b = 4.530 Å, c = 9.361 Å, α = 90.00°, β = 90.00° and γ = 90.00°. The asymmetric unit holds Zr at (0.000, 0.000, 0.000), Cd at (0.000, 0.500, 0.281), Re at (0.000, 0.000, 0.539) and Re at (0.000, 0.500, 0.757).

=====

Below is a PBEsol-optimized structure of Zr2CdRe, with properties calculated at the meta-GGA SCAN level.

For the calculated total energy, the calculation gives -40.78 eV per atom. The calculated density is 10.37 g cm⁻³.

It has space group Imm2 (No. 44), with a = 3.432 Å, b = 4.629 Å, c = 9.696 Å, α = 90.00°, β = 90.00° and γ = 90.00°. The asymmetric unit holds Zr at (0.000, 0.000, 0.000), Zr at (0.000, 0.500, 0.227), Cd at (0.000, 0.000, 0.455) and Re at (0.000, 0.500, 0.717).

=====

Below is a PBEsol-optimized structure of Zr2CdRe, with properties calculated at the meta-GGA SCAN level.

For the calculated total energy, the calculation gives -41.07 eV per atom. The calculated density is 10.38 g cm⁻³.

It has space group P4/mmm (No. 123), with a = 3.317 Å, b = 3.317 Å, c = 6.995 Å, α = 90.00°, β = 90.00° and γ = 90.00°. The asymmetric unit holds Zr at (0.000, 0.000, 0.222), Cd at (0.500, 0.500, 0.500) and Re at (0.500, 0.500, 0.000).

=====

Below is a PBEsol-optimized structure of ZrCd3Re, with properties calculated at the meta-GGA SCAN level.

For the calculated total energy, the calculation gives -36.53 eV per atom. The calculated density is 6.76 g cm⁻³.

It has space group Pm-3m (No. 221), with a = 5.324 Å, b = 5.324 Å, c = 5.324 Å, α = 90.00°, β = 90.00° and γ = 90.00°. The asymmetric unit holds Zr at (0.000, 0.000, 0.000), Cd at (0.000, 0.000, 0.500) and Re at (0.500, 0.500, 0.500).

=====

Below is a PBEsol-optimized structure of Cd5Rh, with properties calculated at the meta-GGA SCAN level.

For the calculated total energy, the calculation gives -31.03 eV per atom. The value obtained for the relative energy among the computed polymorphs is 0.11 eV/f.u. The calculated density is 10.02 g cm⁻³.

It has space group P-62m (No. 189), with a = 5.2067 Å, b = 5.2067 Å, c = 4.6937 Å, α = 90.00°, β = 90.00° and γ = 120.00°. The asymmetric unit holds Cd at (0.0000, 0.6793, 0.0000), Cd at (0.3333, 0.6667, 0.5000) and Rh at (0.0000, 0.0000, 0.5000).

=====

Below is a PBEsol-optimized structure of Cd5Rh, with properties calculated at the meta-GGA SCAN level.

For the calculated total energy, the calculation gives -31.05 eV per atom. The value obtained for the relative energy among the computed polymorphs is 0.00 eV/f.u. The calculated density is 10.01 g cm⁻³.

It has space group Cmmm (No. 65), with a = 4.198 Å, b = 12.838 Å, c = 4.093 Å, α = 90.00°, β = 90.00° and γ = 90.00°. The asymmetric unit holds Cd at (0.000, 0.000, 0.000), Cd at (0.000, 0.160, 0.500), Cd at (0.000, 0.340, 0.000) and Rh at (0.000, 0.500, 0.500).